[1]
Compound: Ba2CuTeP
Source: Alexandria
Functional: GGA-PBE
Structure: optimized geometry

As for the total energy: -4.29 eV/atom. For the formation energy without anion corrections, the calculation gives -95.7 kJ/mol of atoms.

Cell lengths 6.265, 6.265, 4.363 Å; angles 90.00, 90.00, 90.00 degrees
Space group P4/mmm (No. 123)
Symmetry-distinct sites (fractional):
1 Ba 0.000 0.500 0.000 x2
2 Cu 0.000 0.000 0.500 x1
3 Te 0.500 0.500 0.500 x1
4 P 0.000 0.000 0.000 x1

[2]
Compound: Sc4Ge3H2
Source: Alexandria
Functional: GGA-PBE
Structure: optimized geometry

As for the total energy: -5.82 eV/atom.

Cell lengths 10.491, 4.086, 7.910 Å; angles 90.00, 121.29, 90.00 degrees
Space group C2/m (No. 12)
Symmetry-distinct sites (fractional):
1 Sc 0.106 0.000 0.394 x4
2 Sc 0.194 0.500 0.113 x4
3 Ge 0.000 0.000 0.000 x2
4 Ge 0.123 0.500 0.674 x4
5 H 0.179 0.500 0.365 x4

[3]
Compound: CsBeHg
Source: Alexandria
Functional: GGA-PBE
Structure: optimized geometry

Its distance to the lowest polymorph of the same formula is 7 kJ/mol of formula units. As for the total energy: -1.40 eV/atom. Its formation energy from the elements is 0.2280 eV per atom.

Cell lengths 4.161, 6.775, 8.374 Å; angles 111.71, 104.34, 90.01 degrees
Space group P-1 (No. 2)
Symmetry-distinct sites (fractional):
1 Cs 0.099 0.345 0.202 x2
2 Be 0.215 0.958 0.430 x2
3 Hg 0.375 0.139 0.751 x2

[4]
Compound: U2Ag2O7
Source: Alexandria
Functional: GGA-PBE
Structure: optimized geometry

As for the total energy: -7.80 eV/atom. For the formation energy without anion corrections, the calculation gives -199.7 kJ/mol of atoms.

Cell lengths 11.173, 11.173, 11.173 Å; angles 90.00, 90.00, 90.00 degrees
Space group Fd-3m (No. 227, origin choice 2)
Symmetry-distinct sites (fractional):
1 U 0.000 0.000 0.000 x16
2 Ag 0.000 0.000 0.500 x16
3 O 0.063 0.375 0.375 x48
4 O 0.125 0.125 0.625 x8